Record 1
KGaC | the Alexandria database | PBE | optimized geometry; E_form = 0.681 eV/atom; space group = C2/m, No. 12; total DFT energy (no corrections) = -3.769 eV/atom; D(E_F) = 1.43 states/eV per cell
1.0
6.3751 -1.7411 0.0000
6.3751 1.7411 0.0000
-0.6831 0.0000 6.2547
K Ga C
2 2 2
Direct
0.1581 0.1581 0.2083
0.8419 0.8419 0.7917
0.4160 0.4160 0.3303
0.5840 0.5840 0.6697
0.1347 0.1347 0.7328
0.8653 0.8653 0.2672

---

Record 2
RbTaAs2H | the Alexandria database | PBE | optimized geometry; space group = P4/mmm, No. 123; total DFT energy (no corrections) = -4.065 eV/atom; D(E_F) = 6.08 states/eV per cell
1.0
4.5761 0.0000 0.0000
0.0000 4.5761 0.0000
0.0000 0.0000 4.3031
Rb Ta As H
1 1 2 1
Direct
0.0000 0.0000 0.0000
0.5000 0.5000 0.0000
0.0000 0.5000 0.5000
0.5000 0.0000 0.5000
0.0000 0.0000 0.5000

---

Record 3
GdCo5P3 | the Alexandria database | PBE | optimized geometry; E_form = -0.826 eV/atom; space group = Pnma, No. 62; total DFT energy (no corrections) = -8.142 eV/atom; D(E_F) = 24.01 states/eV per cell
1.0
11.7514 0.0000 0.0000
0.0000 3.6539 0.0000
0.0000 0.0000 10.3202
Gd Co P
4 20 12
Direct
0.2025 0.2500 0.0833
0.2975 0.7500 0.5833
0.7025 0.2500 0.4167
0.7975 0.7500 0.9167
0.0087 0.7500 0.7158
0.0116 0.7500 0.0934
0.0679 0.7500 0.4681
0.1757 0.2500 0.7793
0.1979 0.2500 0.3826
0.3021 0.7500 0.8826
0.3243 0.7500 0.2793
0.4321 0.2500 0.9681
0.4884 0.2500 0.5934
0.4913 0.2500 0.2158
0.5087 0.7500 0.7842
0.5116 0.7500 0.4066
0.5679 0.7500 0.0319
0.6757 0.2500 0.7207
0.6979 0.2500 0.1174
0.8021 0.7500 0.6174
0.8243 0.7500 0.2207
0.9321 0.2500 0.5319
0.9884 0.2500 0.9066
0.9913 0.2500 0.2842
0.1085 0.7500 0.8970
0.1117 0.2500 0.5818
0.1300 0.7500 0.2722
0.3700 0.2500 0.7722
0.3883 0.7500 0.0818
0.3915 0.2500 0.3970
0.6085 0.7500 0.6030
0.6117 0.2500 0.9182
0.6300 0.7500 0.2278
0.8700 0.2500 0.7278
0.8883 0.7500 0.4182
0.8915 0.2500 0.1030

---

Record 4
Cd2AgSe | the Alexandria database | PBE | optimized geometry; space group = Cmmm, No. 65; total DFT energy (no corrections) = -1.988 eV/atom; D(E_F) = 2.18 states/eV per cell; formation energy without anion corrections = 0.054 eV/atom
1.0
2.1279 -2.4442 0.0000
2.1279 2.4442 0.0000
0.0000 0.0000 8.2161
Cd Ag Se
2 1 1
Direct
0.0000 0.0000 0.2427
0.0000 0.0000 0.7573
0.5000 0.5000 0.0000
0.5000 0.5000 0.5000